1.
An optimized crystal structure of Pr2Sm2Tm. Source: the Alexandria database, functional PBE.

DFT formation energy = 0.1387 eV per atom
Distance to the lowest polymorph of the same formula = 0 meV/atom
Total magnetization = 0.0 Bohr magnetons per cell

a b c (Å): 5.818 3.635 16.603
angles (deg): 96.28 100.09 90.00
Fractional positions:
Pr: 0.940 0.190 0.879
Pr: 0.456 0.706 0.912
Pr: 0.544 0.294 0.088
Pr: 0.060 0.810 0.121
Sm: 0.270 0.020 0.541
Sm: 0.633 0.883 0.266
Sm: 0.367 0.117 0.734
Sm: 0.730 0.980 0.459
Tm: 0.826 0.576 0.653
Tm: 0.174 0.424 0.347

---

2.
An optimized crystal structure of CePr2Y3As6. Source: the Alexandria database, functional PBE.

DFT formation energy = -1.5161 eV per atom
Total magnetization = 0.5 Bohr magnetons per cell

a b c (Å): 4.208 8.402 9.384
angles (deg): 102.79 102.96 90.00
Fractional positions:
As: 0.667 0.076 0.333
As: 0.003 0.750 0.005
As: 0.333 0.924 0.667
As: 0.997 0.250 0.995
As: 0.664 0.590 0.328
As: 0.336 0.410 0.672
Y: 0.500 0.500 0.000
Y: 0.168 0.834 0.335
Y: 0.832 0.166 0.665
Pr: 0.167 0.335 0.334
Pr: 0.833 0.665 0.666
Ce: 0.500 0.000 0.000

---

Look up the DFT formation energy of the second one. -1.5161 eV per atom

---

Look up the DFT formation energy of the second one. -1.5161 eV per atom